A relaxed CoSi4O10 crystal. Source: Alexandria via LeMat-Bulk, functional PBE with a Hubbard U.

Structure (extended XYZ):
```
60
Lattice="7.299 0.000 0.000 0.000 7.299 0.000 0.000 0.000 16.239" Properties=species:S:1:pos:R:3 pbc="T T T"
Co 1.825 1.825 1.528
Co 1.825 1.825 9.647
Co 5.474 5.474 6.592
Co 5.474 5.474 14.711
Si 0.044 0.522 5.634
Si 0.044 3.127 13.754
Si 0.522 0.044 13.754
Si 0.522 3.606 5.634
Si 3.127 0.044 5.634
Si 3.127 3.606 13.754
Si 3.606 0.522 13.754
Si 3.606 3.127 5.634
Si 3.693 4.172 10.604
Si 3.693 6.777 2.485
Si 4.172 3.693 2.485
Si 4.172 7.255 10.604
Si 6.777 3.693 10.604
Si 6.777 7.255 2.485
Si 7.255 4.172 2.485
Si 7.255 6.777 10.604
O 0.030 5.186 10.268
O 0.030 5.762 2.149
O 0.199 1.108 1.575
O 0.199 2.541 9.695
O 0.277 3.927 4.060
O 0.277 7.022 12.179
O 1.108 0.199 9.695
O 1.108 3.450 1.575
O 1.537 3.680 14.090
O 1.537 7.268 5.971
O 2.112 3.680 5.971
O 2.112 7.268 14.090
O 2.541 0.199 1.575
O 2.541 3.450 9.695
O 3.372 3.927 12.179
O 3.372 7.022 4.060
O 3.450 1.108 9.695
O 3.450 2.541 1.575
O 3.619 5.186 2.149
O 3.619 5.762 10.268
O 3.680 1.537 5.971
O 3.680 2.112 14.090
O 3.849 4.758 14.664
O 3.849 6.191 6.544
O 3.927 0.277 12.179
O 3.927 3.372 4.060
O 4.758 3.849 6.544
O 4.758 7.100 14.664
O 5.186 0.030 2.149
O 5.186 3.619 10.268
O 5.762 0.030 10.268
O 5.762 3.619 2.149
O 6.191 3.849 14.664
O 6.191 7.100 6.544
O 7.022 0.277 4.060
O 7.022 3.372 12.179
O 7.100 4.758 6.544
O 7.100 6.191 14.664
O 7.268 1.537 14.090
O 7.268 2.112 5.971
```

Values from the calculation:
space group	No. 130
DFT total energy	-440.07	eV/cell
calculated volume	14.42	A^3/atom